No. 1
Compound: Sc3Cl
Source: Alexandria
Functional: SCAN
Structure: single point on PBEsol structure

Formation energy (no corrections) ... -402 meV/atom
E_tot ... -13.074 eV/atom

Geometry as CIF:
```
data_Sc3Cl
_chemical_formula_sum 'Sc6 Cl2'
_space_group_name_H-M_alt 'I m m m'
_space_group_IT_number 71
_space_group_name_Hall '-I 2 2'
_cell_length_a 3.1423
_cell_length_b 5.3622
_cell_length_c 10.0504
_cell_angle_alpha 90.00
_cell_angle_beta 90.00
_cell_angle_gamma 90.00
loop_
_atom_site_label
_atom_site_type_symbol
_atom_site_fract_x
_atom_site_fract_y
_atom_site_fract_z
Sc1 Sc 0.0000 0.0000 0.0000
Sc2 Sc 0.0000 0.5000 0.2116
Cl1 Cl 0.0000 0.0000 0.5000
```

=====

No. 2
Compound: Sc2Cl
Source: Alexandria
Functional: SCAN
Structure: single point on PBEsol structure

Formation energy (no corrections) ... -1009 meV/atom
E_tot ... -13.159 eV/atom

Geometry as CIF:
```
data_Sc2Cl
_chemical_formula_sum 'Sc8 Cl4'
_space_group_name_H-M_alt 'C m c m'
_space_group_IT_number 63
_space_group_name_Hall '-C 2c 2'
_cell_length_a 3.3552
_cell_length_b 13.7423
_cell_length_c 5.1862
_cell_angle_alpha 90.00
_cell_angle_beta 90.00
_cell_angle_gamma 90.00
loop_
_atom_site_label
_atom_site_type_symbol
_atom_site_fract_x
_atom_site_fract_y
_atom_site_fract_z
Sc1 Sc 0.0000 0.0476 0.2500
Sc2 Sc 0.0000 0.3593 0.2500
Cl1 Cl 0.0000 0.2990 0.7500
```

=====

No. 3
Compound: Sc4Cl3
Source: Alexandria
Functional: SCAN
Structure: single point on PBEsol structure

Formation energy (no corrections) ... -626 meV/atom
E_tot ... -12.181 eV/atom

Geometry as CIF:
```
data_Sc4Cl3
_chemical_formula_sum 'Sc4 Cl3'
_space_group_name_H-M_alt 'P 6/m m m'
_space_group_IT_number 191
_space_group_name_Hall '-P 6 2'
_cell_length_a 5.7826
_cell_length_b 5.7826
_cell_length_c 4.8348
_cell_angle_alpha 90.00
_cell_angle_beta 90.00
_cell_angle_gamma 120.00
loop_
_atom_site_label
_atom_site_type_symbol
_atom_site_fract_x
_atom_site_fract_y
_atom_site_fract_z
Sc1 Sc 0.0000 0.0000 0.2368
Sc2 Sc 0.3333 0.6667 0.0000
Cl1 Cl 0.0000 0.5000 0.5000
```

=====

No. 4
Compound: ScCl3
Source: Alexandria
Functional: SCAN
Structure: single point on PBEsol structure

Formation energy (no corrections) ... -1415 meV/atom
E_tot ... -10.958 eV/atom

Geometry as CIF:
```
data_ScCl3
_chemical_formula_sum 'Sc1 Cl3'
_space_group_name_H-M_alt 'P 4/m m m'
_space_group_IT_number 123
_space_group_name_Hall '-P 4 2'
_cell_length_a 3.1960
_cell_length_b 3.1960
_cell_length_c 7.5861
_cell_angle_alpha 90.00
_cell_angle_beta 90.00
_cell_angle_gamma 90.00
loop_
_atom_site_label
_atom_site_type_symbol
_atom_site_fract_x
_atom_site_fract_y
_atom_site_fract_z
Sc1 Sc 0.0000 0.0000 0.0000
Cl1 Cl 0.0000 0.0000 0.5000
Cl2 Cl 0.5000 0.5000 0.1908
```

=====

No. 5
Compound: ScCl3
Source: Alexandria
Functional: SCAN
Structure: single point on PBEsol structure

Formation energy (no corrections) ... -1474 meV/atom
E_tot ... -11.017 eV/atom

Geometry as CIF:
```
data_ScCl3
_chemical_formula_sum 'Sc1 Cl3'
_space_group_name_H-M_alt 'P -6 m 2'
_space_group_IT_number 187
_space_group_name_Hall 'P -6 2'
_cell_length_a 3.4407
_cell_length_b 3.4407
_cell_length_c 8.6279
_cell_angle_alpha 90.00
_cell_angle_beta 90.00
_cell_angle_gamma 120.00
loop_
_atom_site_label
_atom_site_type_symbol
_atom_site_fract_x
_atom_site_fract_y
_atom_site_fract_z
Sc1 Sc 0.0000 0.0000 0.0000
Cl1 Cl 0.0000 0.0000 0.5000
Cl2 Cl 0.6667 0.3333 0.1825
```

=====

No. 6
Compound: ScCl3
Source: Alexandria
Functional: SCAN
Structure: single point on PBEsol structure

Formation energy (no corrections) ... -2363 meV/atom
E_tot ... -11.906 eV/atom

Geometry as CIF:
```
data_ScCl3
_chemical_formula_sum 'Sc6 Cl18'
_space_group_name_H-M_alt 'R -3'
_space_group_IT_number 148
_space_group_name_Hall '-R 3'
_cell_length_a 6.3455
_cell_length_b 6.3455
_cell_length_c 18.1391
_cell_angle_alpha 90.00
_cell_angle_beta 90.00
_cell_angle_gamma 120.00
loop_
_atom_site_label
_atom_site_type_symbol
_atom_site_fract_x
_atom_site_fract_y
_atom_site_fract_z
Sc1 Sc 0.0000 0.0000 0.1667
Cl1 Cl 0.0000 0.3607 0.5778
```

=====

No. 7
Compound: ScCl3
Source: Alexandria
Functional: SCAN
Structure: single point on PBEsol structure

Formation energy (no corrections) ... -1036 meV/atom
E_tot ... -10.579 eV/atom

Geometry as CIF:
```
data_ScCl3
_chemical_formula_sum 'Sc3 Cl9'
_space_group_name_H-M_alt 'R -3 m'
_space_group_IT_number 166
_space_group_name_Hall '-R 3 2"'
_cell_length_a 8.6699
_cell_length_b 8.6699
_cell_length_c 3.7659
_cell_angle_alpha 90.00
_cell_angle_beta 90.00
_cell_angle_gamma 120.00
loop_
_atom_site_label
_atom_site_type_symbol
_atom_site_fract_x
_atom_site_fract_y
_atom_site_fract_z
Sc1 Sc 0.0000 0.0000 0.0000
Cl1 Cl 0.0000 0.5000 0.0000
```

=====

No. 8
Compound: Sc2Cl
Source: Alexandria
Functional: SCAN
Structure: single point on PBEsol structure

Formation energy (no corrections) ... -905 meV/atom
E_tot ... -13.056 eV/atom

Geometry as CIF:
```
data_Sc2Cl
_chemical_formula_sum 'Sc8 Cl4'
_space_group_name_H-M_alt 'C 1 2/m 1'
_space_group_IT_number 12
_cell_length_a 12.1581
_cell_length_b 3.2777
_cell_length_c 7.1473
_cell_angle_alpha 90.00
_cell_angle_beta 117.09
_cell_angle_gamma 90.00
loop_
_space_group_symop_operation_xyz
'x,y,z'
'-x,-y,-z'
'-x,y,-z'
'x,-y,z'
'x+1/2,y+1/2,z'
'-x+1/2,-y+1/2,-z'
'-x+1/2,y+1/2,-z'
'x+1/2,-y+1/2,z'
loop_
_atom_site_label
_atom_site_type_symbol
_atom_site_fract_x
_atom_site_fract_y
_atom_site_fract_z
Sc1 Sc 0.0156 0.0000 0.3138
Sc2 Sc 0.2174 0.5000 0.6739
Cl1 Cl 0.1319 0.5000 0.9814
```

=====

No. 9
Compound: ScCl3
Source: Alexandria
Functional: SCAN
Structure: single point on PBEsol structure

Formation energy (no corrections) ... -2270 meV/atom
E_tot ... -11.813 eV/atom

Geometry as CIF:
```
data_ScCl3
_chemical_formula_sum 'Sc2 Cl6'
_space_group_name_H-M_alt 'P m m n'
_space_group_IT_number 59
_cell_length_a 3.3112
_cell_length_b 9.8007
_cell_length_c 6.2855
_cell_angle_alpha 90.00
_cell_angle_beta 90.00
_cell_angle_gamma 90.00
loop_
_space_group_symop_operation_xyz
'x,y,z'
'-x,-y,-z'
'-x+1/2,-y+1/2,z'
'x+1/2,y+1/2,-z'
'x+1/2,-y,-z'
'-x+1/2,y,z'
'-x,y+1/2,-z'
'x,-y+1/2,z'
loop_
_atom_site_label
_atom_site_type_symbol
_atom_site_fract_x
_atom_site_fract_y
_atom_site_fract_z
Sc1 Sc 0.2500 0.2500 0.0745
Cl1 Cl 0.2500 0.5867 0.7717
Cl2 Cl 0.2500 0.7500 0.2204
```

=====

No. 10
Compound: ScCl3
Source: Alexandria
Functional: SCAN
Structure: single point on PBEsol structure

Formation energy (no corrections) ... -2266 meV/atom
E_tot ... -11.809 eV/atom

Geometry as CIF:
```
data_ScCl3
_chemical_formula_sum 'Sc2 Cl6'
_space_group_name_H-M_alt 'I m m 2'
_space_group_IT_number 44
_cell_length_a 3.3039
_cell_length_b 10.0540
_cell_length_c 6.2807
_cell_angle_alpha 90.00
_cell_angle_beta 90.00
_cell_angle_gamma 90.00
loop_
_space_group_symop_operation_xyz
'x,y,z'
'-x,-y,z'
'-x,y,z'
'x,-y,z'
'x+1/2,y+1/2,z+1/2'
'-x+1/2,-y+1/2,z+1/2'
'-x+1/2,y+1/2,z+1/2'
'x+1/2,-y+1/2,z+1/2'
loop_
_atom_site_label
_atom_site_type_symbol
_atom_site_fract_x
_atom_site_fract_y
_atom_site_fract_z
Sc1 Sc 0.0000 0.0000 0.0000
Cl1 Cl 0.0000 0.3395 0.3506
Cl2 Cl 0.0000 0.5000 0.7961
```

=====

No. 11
Compound: ScCl3
Source: Alexandria
Functional: SCAN
Structure: single point on PBEsol structure

Formation energy (no corrections) ... -1185 meV/atom
E_tot ... -10.727 eV/atom

Geometry as CIF:
```
data_ScCl3
_chemical_formula_sum 'Sc1 Cl3'
_space_group_name_H-M_alt 'P m -3 m'
_space_group_IT_number 221
_space_group_name_Hall '-P 4 2 3'
_cell_length_a 4.2248
_cell_length_b 4.2248
_cell_length_c 4.2248
_cell_angle_alpha 90.00
_cell_angle_beta 90.00
_cell_angle_gamma 90.00
loop_
_atom_site_label
_atom_site_type_symbol
_atom_site_fract_x
_atom_site_fract_y
_atom_site_fract_z
Sc1 Sc 0.0000 0.0000 0.0000
Cl1 Cl 0.0000 0.5000 0.5000
```

=====

No. 12
Compound: ScCl3
Source: Alexandria
Functional: SCAN
Structure: single point on PBEsol structure

Formation energy (no corrections) ... -2306 meV/atom
E_tot ... -11.848 eV/atom

Geometry as CIF:
```
data_ScCl3
_chemical_formula_sum 'Sc2 Cl6'
_space_group_name_H-M_alt 'C m m m'
_space_group_IT_number 65
_space_group_name_Hall '-C 2 2'
_cell_length_a 4.9340
_cell_length_b 12.4884
_cell_length_c 3.6121
_cell_angle_alpha 90.00
_cell_angle_beta 90.00
_cell_angle_gamma 90.00
loop_
_atom_site_label
_atom_site_type_symbol
_atom_site_fract_x
_atom_site_fract_y
_atom_site_fract_z
Sc1 Sc 0.0000 0.0000 0.0000
Cl1 Cl 0.0000 0.1358 0.5000
Cl2 Cl 0.0000 0.5000 0.0000
```

=====

No. 13
Compound: Sc3Cl
Source: Alexandria
Functional: SCAN
Structure: single point on PBEsol structure

Formation energy (no corrections) ... -156 meV/atom
E_tot ... -12.828 eV/atom

Geometry as CIF:
```
data_Sc3Cl
_chemical_formula_sum 'Sc9 Cl3'
_space_group_name_H-M_alt 'R -3 m'
_space_group_IT_number 166
_space_group_name_Hall '-R 3 2"'
_cell_length_a 9.5611
_cell_length_b 9.5611
_cell_length_c 3.2660
_cell_angle_alpha 90.00
_cell_angle_beta 90.00
_cell_angle_gamma 120.00
loop_
_atom_site_label
_atom_site_type_symbol
_atom_site_fract_x
_atom_site_fract_y
_atom_site_fract_z
Sc1 Sc 0.0000 0.5000 0.0000
Cl1 Cl 0.0000 0.0000 0.0000
```

=====

No. 14
Compound: Sc2Cl
Source: Alexandria
Functional: SCAN
Structure: single point on PBEsol structure

Formation energy (no corrections) ... -1016 meV/atom
E_tot ... -13.167 eV/atom

Geometry as CIF:
```
data_Sc2Cl
_chemical_formula_sum 'Sc2 Cl1'
_space_group_name_H-M_alt 'P -3 m 1'
_space_group_IT_number 164
_space_group_name_Hall '-P 3 2"'
_cell_length_a 3.3611
_cell_length_b 3.3611
_cell_length_c 6.2124
_cell_angle_alpha 90.00
_cell_angle_beta 90.00
_cell_angle_gamma 120.00
loop_
_atom_site_label
_atom_site_type_symbol
_atom_site_fract_x
_atom_site_fract_y
_atom_site_fract_z
Sc1 Sc 0.3333 0.6667 0.3117
Cl1 Cl 0.0000 0.0000 0.0000
```

=====

No. 15
Compound: ScSeCl2
Source: Alexandria
Functional: SCAN
Structure: single point on PBEsol structure

Excess energy over the best structure of this formula in the dataset ... 0.0 kJ/mol of atoms
Formation energy (no corrections) ... -1405 meV/atom
E_tot ... -13.972 eV/atom

Geometry as CIF:
```
data_ScSeCl2
_chemical_formula_sum 'Sc2 Se2 Cl4'
_space_group_name_H-M_alt 'I m m 2'
_space_group_IT_number 44
_cell_length_a 3.1472
_cell_length_b 4.7997
_cell_length_c 13.4851
_cell_angle_alpha 90.00
_cell_angle_beta 90.00
_cell_angle_gamma 90.00
loop_
_space_group_symop_operation_xyz
'x,y,z'
'-x,-y,z'
'-x,y,z'
'x,-y,z'
'x+1/2,y+1/2,z+1/2'
'-x+1/2,-y+1/2,z+1/2'
'-x+1/2,y+1/2,z+1/2'
'x+1/2,-y+1/2,z+1/2'
loop_
_atom_site_label
_atom_site_type_symbol
_atom_site_fract_x
_atom_site_fract_y
_atom_site_fract_z
Sc1 Sc 0.0000 0.0000 0.0000
Se1 Se 0.0000 0.5000 0.6626
Cl1 Cl 0.0000 0.0000 0.5087
Cl2 Cl 0.0000 0.5000 0.3596
```

=====

No. 16
Compound: ScSeCl2
Source: Alexandria
Functional: SCAN
Structure: single point on PBEsol structure

Excess energy over the best structure of this formula in the dataset ... 16.3 kJ/mol of atoms
Formation energy (no corrections) ... -1235 meV/atom
E_tot ... -13.803 eV/atom

Geometry as CIF:
```
data_ScSeCl2
_chemical_formula_sum 'Sc3 Se3 Cl6'
_space_group_name_H-M_alt 'R -3 m'
_space_group_IT_number 166
_space_group_name_Hall '-R 3 2"'
_cell_length_a 3.2981
_cell_length_b 3.2981
_cell_length_c 27.7889
_cell_angle_alpha 90.00
_cell_angle_beta 90.00
_cell_angle_gamma 120.00
loop_
_atom_site_label
_atom_site_type_symbol
_atom_site_fract_x
_atom_site_fract_y
_atom_site_fract_z
Sc1 Sc 0.0000 0.0000 0.0000
Se1 Se 0.0000 0.0000 0.5000
Cl1 Cl 0.0000 0.0000 0.2757
```

=====

No. 17
Compound: ScSeCl
Source: Alexandria
Functional: SCAN
Structure: single point on PBEsol structure

Formation energy (no corrections) ... -2064 meV/atom
E_tot ... -16.162 eV/atom

Geometry as CIF:
```
data_ScSeCl
_chemical_formula_sum 'Sc1 Se1 Cl1'
_space_group_name_H-M_alt 'P 3 m 1'
_space_group_IT_number 156
_cell_length_a 3.7330
_cell_length_b 3.7330
_cell_length_c 6.1470
_cell_angle_alpha 90.00
_cell_angle_beta 90.00
_cell_angle_gamma 120.00
loop_
_space_group_symop_operation_xyz
'x,y,z'
'-y,x-y,z'
'-x+y,-x,z'
'-y,-x,z'
'-x+y,y,z'
'x,x-y,z'
loop_
_atom_site_label
_atom_site_type_symbol
_atom_site_fract_x
_atom_site_fract_y
_atom_site_fract_z
Sc1 Sc 0.0000 0.0000 0.0000
Se1 Se 0.6667 0.3333 0.7678
Cl1 Cl 0.3333 0.6667 0.2476
```

=====

No. 18
Compound: Sc2SeCl
Source: Alexandria
Functional: SCAN
Structure: single point on PBEsol structure

Excess energy over the best structure of this formula in the dataset ... 61.4 kJ/mol of atoms
Formation energy (no corrections) ... -544 meV/atom
E_tot ... -14.677 eV/atom

Geometry as CIF:
```
data_Sc2SeCl
_chemical_formula_sum 'Sc8 Se4 Cl4'
_space_group_name_H-M_alt 'F -4 3 m'
_space_group_IT_number 216
_space_group_name_Hall 'F -4 2 3'
_cell_length_a 6.8605
_cell_length_b 6.8605
_cell_length_c 6.8605
_cell_angle_alpha 90.00
_cell_angle_beta 90.00
_cell_angle_gamma 90.00
loop_
_atom_site_label
_atom_site_type_symbol
_atom_site_fract_x
_atom_site_fract_y
_atom_site_fract_z
Sc1 Sc 0.0000 0.0000 0.0000
Sc2 Sc 0.2500 0.2500 0.2500
Se1 Se 0.2500 0.2500 0.7500
Cl1 Cl 0.0000 0.0000 0.5000
```

=====

No. 19
Compound: ScSeCl2
Source: Alexandria
Functional: SCAN
Structure: single point on PBEsol structure

Excess energy over the best structure of this formula in the dataset ... 44.9 kJ/mol of atoms
Formation energy (no corrections) ... -939 meV/atom
E_tot ... -13.507 eV/atom

Geometry as CIF:
```
data_ScSeCl2
_chemical_formula_sum 'Sc2 Se2 Cl4'
_space_group_name_H-M_alt 'I 4/m m m'
_space_group_IT_number 139
_space_group_name_Hall '-I 4 2'
_cell_length_a 4.2502
_cell_length_b 4.2502
_cell_length_c 8.4443
_cell_angle_alpha 90.00
_cell_angle_beta 90.00
_cell_angle_gamma 90.00
loop_
_atom_site_label
_atom_site_type_symbol
_atom_site_fract_x
_atom_site_fract_y
_atom_site_fract_z
Sc1 Sc 0.0000 0.0000 0.0000
Se1 Se 0.0000 0.0000 0.5000
Cl1 Cl 0.0000 0.5000 0.2500
```

=====

No. 20
Compound: Sc2SeCl
Source: Alexandria
Functional: SCAN
Structure: single point on PBEsol structure

Excess energy over the best structure of this formula in the dataset ... 0.0 kJ/mol of atoms
Formation energy (no corrections) ... -1181 meV/atom
E_tot ... -15.313 eV/atom

Geometry as CIF:
```
data_Sc2SeCl
_chemical_formula_sum 'Sc8 Se4 Cl4'
_space_group_name_H-M_alt 'I -4 2 d'
_space_group_IT_number 122
_space_group_name_Hall 'I -4 2bw'
_cell_length_a 5.8163
_cell_length_b 5.8163
_cell_length_c 11.7107
_cell_angle_alpha 90.00
_cell_angle_beta 90.00
_cell_angle_gamma 90.00
loop_
_atom_site_label
_atom_site_type_symbol
_atom_site_fract_x
_atom_site_fract_y
_atom_site_fract_z
Sc1 Sc 0.2401 0.2500 0.1250
Se1 Se 0.0000 0.0000 0.5000
Cl1 Cl 0.0000 0.0000 0.0000
```